1.
Here is an optimized crystal structure of LiPmTmAg from Alexandria. Energies are from GGA-PBE.

Cell: 5.201 5.201 5.201 Å, 60.00 60.00 60.00°
Positions (direct):
Li: 0.000 0.000 0.000
Pm: 0.750 0.750 0.750
Tm: 0.250 0.250 0.250
Ag: 0.500 0.500 0.500

Energy of formation = -0.33 eV per formula unit
Crystal system = cubic
Calculated volume = 99.5 Å³ per cell

2.
Here is an optimized crystal structure of Li2PmZnAg4 from Alexandria. Energies are from GGA-PBE.

Cell: 9.101 9.101 9.101 Å, 28.82 28.82 28.82°
Positions (direct):
Li: 0.236 0.236 0.236
Li: 0.764 0.764 0.764
Pm: 0.000 0.000 0.000
Zn: 0.500 0.500 0.500
Ag: 0.128 0.128 0.128
Ag: 0.400 0.400 0.400
Ag: 0.600 0.600 0.600
Ag: 0.872 0.872 0.872

Energy of formation = -1.33 eV per formula unit
Crystal system = trigonal
Calculated volume = 154.9 Å³ per cell

3.
Here is an optimized crystal structure of LiPm4Zn2Ag from Alexandria. Energies are from GGA-PBE.

Cell: 9.087 9.087 9.087 Å, 33.44 33.44 33.44°
Positions (direct):
Li: 0.000 0.000 0.000
Pm: 0.126 0.126 0.126
Pm: 0.376 0.376 0.376
Pm: 0.624 0.624 0.624
Pm: 0.874 0.874 0.874
Zn: 0.255 0.255 0.255
Zn: 0.745 0.745 0.745
Ag: 0.500 0.500 0.500

Energy of formation = -1.66 eV per formula unit
Crystal system = trigonal
Calculated volume = 202.9 Å³ per cell

4.
Here is an optimized crystal structure of LiPm2Zn3Ag4 from Alexandria. Energies are from GGA-PBE.

Cell: 4.101 4.101 12.297 Å, 90.00 90.00 90.00°
Positions (direct):
Li: 0.000 0.000 0.000
Pm: 0.000 0.500 0.741
Pm: 0.500 0.000 0.259
Zn: 0.000 0.500 0.360
Zn: 0.500 0.000 0.640
Zn: 0.500 0.500 0.000
Ag: 0.000 0.000 0.500
Ag: 0.000 0.500 0.144
Ag: 0.500 0.000 0.856
Ag: 0.500 0.500 0.500

Energy of formation = -2.17 eV per formula unit
Crystal system = tetragonal
Calculated volume = 206.8 Å³ per cell

5.
Here is an optimized crystal structure of LiPmZnAg from Alexandria. Energies are from GGA-PBE.

Cell: 4.597 4.597 5.383 Å, 115.36 115.36 60.49°
Positions (direct):
Li: 0.000 0.000 0.000
Pm: 0.497 0.497 0.491
Zn: 0.280 0.280 0.843
Ag: 0.710 0.710 0.131

Energy of formation = -0.87 eV per formula unit
Crystal system = monoclinic
Calculated volume = 86.0 Å³ per cell

6.
Here is an optimized crystal structure of LiPm2ZnAg6 from Alexandria. Energies are from GGA-PBE.

Cell: 5.579 6.818 6.842 Å, 69.19 66.26 66.22°
Positions (direct):
Li: 0.000 0.000 0.000
Pm: 0.490 0.272 0.746
Pm: 0.510 0.728 0.254
Zn: 0.000 0.500 0.500
Ag: 0.004 0.182 0.310
Ag: 0.178 0.573 0.071
Ag: 0.498 0.817 0.691
Ag: 0.502 0.183 0.309
Ag: 0.822 0.427 0.929
Ag: 0.996 0.818 0.690

Energy of formation = -1.14 eV per formula unit
Crystal system = triclinic
Calculated volume = 212.1 Å³ per cell

7.
Here is an optimized crystal structure of LiPr2Ag2 from Alexandria. Energies are from GGA-PBE.

Cell: 8.020 8.020 8.020 Å, 132.72 67.96 134.17°
Positions (direct):
Li: 0.250 0.250 0.000
Li: 0.750 0.750 0.000
Pr: 0.146 0.673 0.818
Pr: 0.354 0.173 0.527
Pr: 0.646 0.827 0.473
Pr: 0.854 0.327 0.182
Ag: 0.125 0.187 0.312
Ag: 0.375 0.687 0.063
Ag: 0.625 0.313 0.937
Ag: 0.875 0.813 0.688

Energy of formation = -0.29 eV per formula unit
Crystal system = orthorhombic
Calculated volume = 267.1 Å³ per cell

8.
Here is an optimized crystal structure of Li5Pr2Ag5 from Alexandria. Energies are from GGA-PBE.

Cell: 4.671 5.407 9.749 Å, 90.00 90.00 90.00°
Positions (direct):
Li: 0.000 0.000 0.000
Li: 0.000 0.252 0.255
Li: 0.000 0.252 0.745
Li: 0.000 0.748 0.255
Li: 0.000 0.748 0.745
Pr: 0.500 0.000 0.500
Pr: 0.500 0.500 0.000
Ag: 0.000 0.500 0.500
Ag: 0.500 0.000 0.169
Ag: 0.500 0.000 0.831
Ag: 0.500 0.500 0.324
Ag: 0.500 0.500 0.676

Energy of formation = -2.42 eV per formula unit
Crystal system = orthorhombic
Calculated volume = 246.2 Å³ per cell

9.
Here is an optimized crystal structure of Li6PrAg2 from Alexandria. Energies are from GGA-PBE.

Cell: 4.132 4.132 11.020 Å, 90.00 90.00 90.00°
Positions (direct):
Li: 0.000 0.000 0.000
Li: 0.000 0.500 0.209
Li: 0.000 0.500 0.791
Li: 0.500 0.000 0.209
Li: 0.500 0.000 0.791
Li: 0.500 0.500 0.000
Pr: 0.000 0.000 0.500
Ag: 0.500 0.500 0.370
Ag: 0.500 0.500 0.630

Energy of formation = -0.97 eV per formula unit
Crystal system = tetragonal
Calculated volume = 188.1 Å³ per cell

10.
Here is an optimized crystal structure of Li7Pr3Ag4 from Alexandria. Energies are from GGA-PBE.

Cell: 8.512 8.512 10.538 Å, 123.88 123.88 29.74°
Positions (direct):
Li: 0.000 0.000 0.000
Li: 0.161 0.161 0.929
Li: 0.325 0.325 0.492
Li: 0.485 0.485 0.189
Li: 0.515 0.515 0.811
Li: 0.675 0.675 0.508
Li: 0.839 0.839 0.071
Pr: 0.000 0.000 0.500
Pr: 0.298 0.298 0.781
Pr: 0.702 0.702 0.219
Ag: 0.108 0.108 0.323
Ag: 0.345 0.345 0.240
Ag: 0.655 0.655 0.760
Ag: 0.892 0.892 0.677

Energy of formation = -1.80 eV per formula unit
Crystal system = monoclinic
Calculated volume = 309.5 Å³ per cell

11.
Here is an optimized crystal structure of Li9PrAg2 from Alexandria. Energies are from GGA-PBE.

Cell: 8.791 8.791 8.791 Å, 100.27 100.27 130.04°
Positions (direct):
Li: 0.067 0.235 0.427
Li: 0.067 0.640 0.832
Li: 0.235 0.067 0.927
Li: 0.235 0.308 0.168
Li: 0.308 0.235 0.668
Li: 0.308 0.640 0.073
Li: 0.360 0.692 0.427
Li: 0.360 0.933 0.668
Li: 0.375 0.625 0.750
Li: 0.625 0.375 0.250
Li: 0.640 0.067 0.332
Li: 0.640 0.308 0.573
Li: 0.692 0.360 0.927
Li: 0.692 0.765 0.332
Li: 0.765 0.692 0.832
Li: 0.765 0.933 0.073
Li: 0.933 0.360 0.168
Li: 0.933 0.765 0.573
Pr: 0.125 0.875 0.250
Pr: 0.875 0.125 0.750
Ag: 0.000 0.500 0.500
Ag: 0.500 0.000 0.000
Ag: 0.500 0.500 0.000
Ag: 0.500 0.500 0.500

Energy of formation = -0.64 eV per formula unit
Crystal system = tetragonal
Calculated volume = 471.4 Å³ per cell

12.
Here is an optimized crystal structure of LiPrAg4 from Alexandria. Energies are from GGA-PBE.

Cell: 5.641 5.641 5.641 Å, 60.00 60.00 60.00°
Positions (direct):
Li: 0.000 0.000 0.000
Pr: 0.250 0.250 0.250
Ag: 0.122 0.626 0.626
Ag: 0.626 0.122 0.626
Ag: 0.626 0.626 0.122
Ag: 0.626 0.626 0.626

Energy of formation = -1.01 eV per formula unit
Crystal system = cubic
Calculated volume = 126.9 Å³ per cell

13.
Here is an optimized crystal structure of Li3Pr2Ag2 from Alexandria. Energies are from GGA-PBE.

Cell: 5.893 5.893 7.593 Å, 112.99 112.99 43.44°
Positions (direct):
Li: 0.000 0.000 0.000
Li: 0.140 0.140 0.437
Li: 0.860 0.860 0.563
Pr: 0.360 0.360 0.227
Pr: 0.640 0.640 0.773
Ag: 0.361 0.361 0.802
Ag: 0.639 0.639 0.198

Energy of formation = -0.98 eV per formula unit
Crystal system = monoclinic
Calculated volume = 164.5 Å³ per cell

14.
Here is an optimized crystal structure of Li2Pr3Ag5 from Alexandria. Energies are from GGA-PBE.

Cell: 10.658 10.658 3.977 Å, 90.00 90.00 90.00°
Positions (direct):
Li: 0.113 0.387 0.000
Li: 0.387 0.887 0.000
Li: 0.613 0.113 0.000
Li: 0.887 0.613 0.000
Pr: 0.000 0.000 0.000
Pr: 0.182 0.682 0.000
Pr: 0.318 0.182 0.000
Pr: 0.500 0.500 0.000
Pr: 0.682 0.818 0.000
Pr: 0.818 0.318 0.000
Ag: 0.000 0.500 0.500
Ag: 0.060 0.223 0.500
Ag: 0.223 0.940 0.500
Ag: 0.277 0.440 0.500
Ag: 0.440 0.723 0.500
Ag: 0.500 0.000 0.500
Ag: 0.560 0.277 0.500
Ag: 0.723 0.560 0.500
Ag: 0.777 0.060 0.500
Ag: 0.940 0.777 0.500

Energy of formation = -2.08 eV per formula unit
Crystal system = tetragonal
Calculated volume = 451.7 Å³ per cell

15.
Here is an optimized crystal structure of LiPrAg3 from Alexandria. Energies are from GGA-PBE.

Cell: 4.761 4.761 4.761 Å, 90.00 90.00 90.00°
Positions (direct):
Li: 0.000 0.000 0.000
Pr: 0.500 0.500 0.500
Ag: 0.000 0.000 0.500
Ag: 0.000 0.500 0.000
Ag: 0.500 0.000 0.000

Energy of formation = -0.21 eV per formula unit
Crystal system = cubic
Calculated volume = 107.9 Å³ per cell

16.
Here is an optimized crystal structure of LiPrAg3 from Alexandria. Energies are from GGA-PBE.

Cell: 5.774 13.144 5.699 Å, 90.00 90.00 90.00°
Positions (direct):
Li: 0.186 0.250 0.176
Li: 0.314 0.750 0.676
Li: 0.686 0.250 0.324
Li: 0.814 0.750 0.824
Pr: 0.000 0.000 0.000
Pr: 0.000 0.500 0.000
Pr: 0.500 0.000 0.500
Pr: 0.500 0.500 0.500
Ag: 0.002 0.109 0.490
Ag: 0.002 0.391 0.490
Ag: 0.173 0.750 0.173
Ag: 0.327 0.250 0.673
Ag: 0.498 0.609 0.990
Ag: 0.498 0.891 0.990
Ag: 0.502 0.109 0.010
Ag: 0.502 0.391 0.010
Ag: 0.673 0.750 0.327
Ag: 0.827 0.250 0.827
Ag: 0.998 0.609 0.510
Ag: 0.998 0.891 0.510

Energy of formation = -0.94 eV per formula unit
Crystal system = orthorhombic
Calculated volume = 432.5 Å³ per cell

17.
Here is an optimized crystal structure of Li5PrAg7 from Alexandria. Energies are from GGA-PBE.

Cell: 7.162 7.162 7.162 Å, 136.53 97.57 98.20°
Positions (direct):
Li: 0.000 0.000 0.000
Li: 0.272 0.273 0.505
Li: 0.272 0.767 0.000
Li: 0.768 0.273 0.000
Li: 0.768 0.767 0.495
Pr: 0.760 0.260 0.500
Ag: 0.110 0.610 0.500
Ag: 0.118 0.269 0.849
Ag: 0.414 0.914 0.500
Ag: 0.419 0.269 0.151
Ag: 0.551 0.551 0.000
Ag: 0.556 0.773 0.783
Ag: 0.990 0.773 0.217

Energy of formation = -2.22 eV per formula unit
Crystal system = orthorhombic
Calculated volume = 234.8 Å³ per cell

18.
Here is an optimized crystal structure of Li3Pr3Ag8 from Alexandria. Energies are from GGA-PBE.

Cell: 8.600 8.600 8.600 Å, 148.05 113.28 75.89°
Positions (direct):
Li: 0.000 0.000 0.000
Li: 0.195 0.500 0.695
Li: 0.805 0.500 0.305
Pr: 0.214 0.714 0.500
Pr: 0.500 0.000 0.500
Pr: 0.786 0.286 0.500
Ag: 0.082 0.878 0.204
Ag: 0.189 0.337 0.852
Ag: 0.326 0.122 0.204
Ag: 0.484 0.337 0.148
Ag: 0.516 0.663 0.852
Ag: 0.674 0.878 0.796
Ag: 0.811 0.663 0.148
Ag: 0.918 0.122 0.796

Energy of formation = -2.93 eV per formula unit
Crystal system = orthorhombic
Calculated volume = 303.7 Å³ per cell

19.
Here is an optimized crystal structure of Li2PrAg from Alexandria. Energies are from GGA-PBE.

Cell: 10.704 10.704 10.704 Å, 17.18 17.18 17.18°
Positions (direct):
Li: 0.100 0.100 0.100
Li: 0.900 0.900 0.900
Pr: 0.000 0.000 0.000
Ag: 0.500 0.500 0.500

Energy of formation = 0.50 eV per formula unit
Crystal system = trigonal
Calculated volume = 93.3 Å³ per cell

20.
Here is an optimized crystal structure of Li12PrAg6 from Alexandria. Energies are from GGA-PBE.

Cell: 7.379 7.379 7.379 Å, 102.13 102.13 102.13°
Positions (direct):
Li: 0.000 0.390 0.610
Li: 0.000 0.610 0.390
Li: 0.061 0.061 0.332
Li: 0.061 0.332 0.061
Li: 0.332 0.061 0.061
Li: 0.390 0.000 0.610
Li: 0.390 0.610 0.000
Li: 0.610 0.000 0.390
Li: 0.610 0.390 0.000
Li: 0.668 0.939 0.939
Li: 0.939 0.668 0.939
Li: 0.939 0.939 0.668
Pr: 0.500 0.500 0.500
Ag: 0.232 0.741 0.741
Ag: 0.259 0.259 0.768
Ag: 0.259 0.768 0.259
Ag: 0.741 0.232 0.741
Ag: 0.741 0.741 0.232
Ag: 0.768 0.259 0.259

Energy of formation = -1.25 eV per formula unit
Crystal system = trigonal
Calculated volume = 370.2 Å³ per cell